No. 1
InAs2AuBr after structural relaxation, computed with PBE.

As for the formation energy (no corrections): 0.451 eV/atom. As for the mass density: 5.67 g cm⁻³. The uncorrected energy comes out at -14.7 eV for the cell shown. For the total magnetization, the calculation gives 1.52 Bohr magnetons per cell. Its space-group type is P4/mmm. The density of states at the Fermi level comes out at 4.527 states/eV per cell.

abc: 4.954 4.954 6.464
angles: 90.00 90.00 90.00
Site moments in Bohr magnetons follow the coordinates.
Positions (direct):
In: 0.500 0.500 0.500  0.01
Br: 0.000 0.000 0.500  0.10
Au: 0.000 0.000 0.000  0.12
As: 0.500 0.000 0.000  0.29
As: 0.000 0.500 0.000  0.29

No. 2
InAs2AuBr after structural relaxation, computed with PBE.

As for the formation energy (no corrections): 0.839 eV/atom. As for the mass density: 5.93 g cm⁻³. The uncorrected energy comes out at -12.8 eV for the cell shown. For the total magnetization, the calculation gives 1.55 Bohr magnetons per cell. Its space-group type is P4/mmm. The density of states at the Fermi level comes out at 3.336 states/eV per cell.

abc: 5.329 5.329 5.342
angles: 90.00 90.00 90.00
Site moments in Bohr magnetons follow the coordinates.
Positions (direct):
As: 0.500 0.000 0.000  0.35
In: 0.000 0.000 0.000  0.00
Br: 0.000 0.000 0.500  0.10
As: 0.000 0.500 0.000  0.35
Au: 0.500 0.500 0.500  0.00

No. 3
LaAs2AuBr after structural relaxation, computed with PBE.

As for the formation energy (no corrections): -0.230 eV/atom. As for the mass density: 6.99 g cm⁻³. The uncorrected energy comes out at -20.3 eV for the cell shown. For the total magnetization, the calculation gives 0.00 Bohr magnetons per cell. Its space-group type is P4/mmm. The density of states at the Fermi level comes out at 2.763 states/eV per cell.

abc: 5.062 5.062 5.245
angles: 90.00 90.00 90.00
Positions (direct):
La: 0.500 0.500 0.500
Au: 0.000 0.000 0.000
As: 0.000 0.500 0.000
As: 0.500 0.000 0.000
Br: 0.000 0.000 0.500

No. 4
LaAs2AuBr after structural relaxation, computed with PBE.

As for the formation energy (no corrections): 0.351 eV/atom. As for the mass density: 4.82 g cm⁻³. The uncorrected energy comes out at -17.4 eV for the cell shown. For the total magnetization, the calculation gives 1.32 Bohr magnetons per cell. Its space-group type is P4/mmm. The density of states at the Fermi level comes out at 3.296 states/eV per cell.

abc: 5.866 5.866 5.668
angles: 90.00 90.00 90.00
Site moments in Bohr magnetons follow the coordinates.
Positions (direct):
Au: 0.500 0.500 0.500  -0.05
La: 0.000 0.000 0.000  0.03
Br: 0.000 0.000 0.500  0.06
As: 0.500 0.000 0.000  0.29
As: 0.000 0.500 0.000  0.29

No. 5
LiAsAuBr2 after structural relaxation, computed with PBE.

As for the formation energy (no corrections): 0.010 eV/atom. As for the mass density: 4.70 g cm⁻³. The uncorrected energy comes out at -13.1 eV for the cell shown. For the total magnetization, the calculation gives 1.67 Bohr magnetons per cell. Its space-group type is P4/mmm. The density of states at the Fermi level comes out at 2.525 states/eV per cell.

abc: 5.593 5.593 4.950
angles: 90.00 90.00 90.00
Site moments in Bohr magnetons follow the coordinates.
Positions (direct):
Br: 0.000 0.500 0.000  0.08
Li: 0.500 0.500 0.500  0.00
Au: 0.000 0.000 0.000  0.11
As: 0.000 0.000 0.500  0.61
Br: 0.500 0.000 0.000  0.08

No. 6
MnAsAuBr2 after structural relaxation, computed with PBE.

As for the formation energy (no corrections): 0.530 eV/atom. As for the mass density: 7.02 g cm⁻³. The uncorrected energy comes out at -17.8 eV for the cell shown. For the total magnetization, the calculation gives 0.06 Bohr magnetons per cell. Its space-group type is P4/mmm. The density of states at the Fermi level comes out at 5.017 states/eV per cell.

abc: 5.046 5.046 4.520
angles: 90.00 90.00 90.00
Site moments in Bohr magnetons follow the coordinates.
Positions (direct):
Mn: 0.000 0.000 0.000  -0.09
As: 0.000 0.000 0.500  0.03
Br: 0.500 0.000 0.000  0.01
Au: 0.500 0.500 0.500  -0.02
Br: 0.000 0.500 0.000  0.01

No. 7
MoAs2AuBr after structural relaxation, computed with PBE.

As for the formation energy (no corrections): 0.549 eV/atom. As for the mass density: 7.10 g cm⁻³. The uncorrected energy comes out at -22.3 eV for the cell shown. For the total magnetization, the calculation gives 0.00 Bohr magnetons per cell. Its space-group type is P4/mmm. The density of states at the Fermi level comes out at 2.941 states/eV per cell.

abc: 4.864 4.864 5.166
angles: 90.00 90.00 90.00
Positions (direct):
As: 0.000 0.500 0.000
Mo: 0.000 0.000 0.000
Br: 0.000 0.000 0.500
As: 0.500 0.000 0.000
Au: 0.500 0.500 0.500

No. 8
AsAuBr2N after structural relaxation, computed with PBE.

As for the formation energy (no corrections): 1.138 eV/atom. As for the mass density: 7.66 g cm⁻³. The uncorrected energy comes out at -13.9 eV for the cell shown. For the total magnetization, the calculation gives 0.00 Bohr magnetons per cell. Its space-group type is P4/mmm. The density of states at the Fermi level comes out at 2.486 states/eV per cell.

abc: 4.526 4.526 4.716
angles: 90.00 90.00 90.00
Positions (direct):
As: 0.000 0.000 0.500
Au: 0.500 0.500 0.500
N: 0.000 0.000 0.000
Br: 0.000 0.500 0.000
Br: 0.500 0.000 0.000

> Which of these has the highest total magnetization?

LiAsAuBr2